The following is a DFT calculation (PBE-GGA) of a relaxed MgZrAs crystal.

a = 3.8903 Å, b = 3.8903 Å, c = 7.7938 Å
α = 90.00°, β = 90.00°, γ = 90.00°
Closest atoms and distances in Å follow each position.
Sites, in units of the cell vectors:
Mg1 0.0000 0.0000 0.0000  4 Mg 2.75, 4 As 3.01
Mg2 0.5000 0.5000 0.0000  4 Mg 2.75, 4 As 3.01
As1 0.0000 0.5000 0.2954  5 Zr 2.75-2.79, 4 Mg 3.01
As2 0.5000 0.0000 0.7046  5 Zr 2.75-2.79, 4 Mg 3.01
Zr1 0.0000 0.5000 0.6487  5 As 2.75-2.79
Zr2 0.5000 0.0000 0.3513  5 As 2.75-2.79

Values from the calculation:
Formation energy from the elements ... -674 meV/atom
Calculated total energy ... -5.605 eV/atom
V ... 19.66 A^3/atom



The following is a DFT calculation (PBE-GGA) of a relaxed LiFe crystal.

a = 3.7167 Å, b = 3.7167 Å, c = 8.0524 Å
α = 90.00°, β = 90.00°, γ = 120.00°
Closest atoms and distances in Å follow each position.
Sites, in units of the cell vectors:
Li1 0.0000 0.0000 0.2500  3 Li 2.15
Li2 0.0000 0.0000 0.7500  3 Li 2.15
Li3 0.3333 0.6667 0.7500  3 Li 2.15, 2 Fe 2.34
Li4 0.6667 0.3333 0.2500  3 Li 2.15, 2 Fe 2.34
Fe1 0.3333 0.6667 0.0400  3 Fe 2.24, 1 Li 2.34
Fe2 0.6667 0.3333 0.5400  3 Fe 2.24, 1 Li 2.34
Fe3 0.6667 0.3333 0.9600  3 Fe 2.24, 1 Li 2.34
Fe4 0.3333 0.6667 0.4600  3 Fe 2.24, 1 Li 2.34

Values from the calculation:
Formation energy from the elements ... 563 meV/atom
Calculated total energy ... -4.625 eV/atom
V ... 12.04 A^3/atom



The following is a DFT calculation (PBE-GGA) of a relaxed CaZr2Cu crystal.

a = 5.4578 Å, b = 5.4578 Å, c = 5.4578 Å
α = 131.87°, β = 131.87°, γ = 70.44°
Closest atoms and distances in Å follow each position.
Sites, in units of the cell vectors:
Ca1 0.5000 0.5000 0.0000  8 Zr 3.15, 4 Cu 3.15
Cu1 0.7500 0.2500 0.5000  8 Zr 3.15, 4 Ca 3.15
Zr1 0.0000 0.0000 0.0000  4 Ca 3.15, 4 Cu 3.15, 4 Zr 3.15
Zr2 0.2500 0.7500 0.5000  4 Cu 3.15, 4 Zr 3.15, 4 Ca 3.15

Values from the calculation:
Energy above the lowest structure with this stoichiometry ... 386 meV per atom
Formation energy from the elements ... 398 meV/atom
Calculated total energy ... -5.401 eV/atom
V ... 22.09 A^3/atom



The following is a DFT calculation (PBE-GGA) of a relaxed LaEr2Th3 crystal.

a = 9.4705 Å, b = 9.4705 Å, c = 6.2164 Å
α = 89.62°, β = 89.62°, γ = 44.18°
Closest atoms and distances in Å follow each position.
Sites, in units of the cell vectors:
La1 0.1327 0.8673 0.2500  6 Th 3.49-3.63, 4 Er 3.63-3.67, 2 La 3.64
La2 0.8673 0.1327 0.7500  6 Th 3.49-3.63, 4 Er 3.63-3.67, 2 La 3.64
Er1 0.0433 0.2974 0.4151  3 Er 3.47-3.60, 7 Th 3.51-3.64, 2 La 3.63-3.67
Er2 0.2974 0.0433 0.9151  3 Er 3.47-3.60, 7 Th 3.51-3.64, 2 La 3.63-3.67
Er3 0.7026 0.9567 0.0849  3 Er 3.47-3.60, 7 Th 3.51-3.64, 2 La 3.63-3.67
Er4 0.9567 0.7026 0.5849  3 Er 3.47-3.60, 7 Th 3.51-3.64, 2 La 3.63-3.67
Th1 0.3771 0.6229 0.7500  4 La 3.49-3.63, 6 Th 3.55-3.57, 2 Er 3.64
Th2 0.6229 0.3771 0.2500  4 La 3.49-3.63, 6 Th 3.55-3.57, 2 Er 3.64
Th3 0.2140 0.4536 0.0803  6 Er 3.51-3.62, 5 Th 3.55-3.62, 1 La 3.57
Th4 0.5464 0.7860 0.4197  6 Er 3.51-3.62, 5 Th 3.55-3.62, 1 La 3.57
Th5 0.4536 0.2140 0.5803  6 Er 3.51-3.62, 5 Th 3.55-3.62, 1 La 3.57
Th6 0.7860 0.5464 0.9197  6 Er 3.51-3.62, 5 Th 3.55-3.62, 1 La 3.57

Values from the calculation:
Formation energy from the elements ... 49 meV/atom
Calculated total energy ... -6.003 eV/atom
V ... 32.38 A^3/atom



The following is a DFT calculation (PBE-GGA) of a relaxed Pr4Sm5Er4 crystal.

a = 5.1036 Å, b = 9.5825 Å, c = 9.5823 Å
α = 85.94°, β = 74.56°, γ = 74.56°
Closest atoms and distances in Å follow each position.
Sites, in units of the cell vectors:
Pr1 0.9221 0.4597 0.6962  4 Er 3.58-3.61, 3 Sm 3.61-3.67, 5 Pr 3.65-3.70
Pr2 0.6182 0.3038 0.4597  4 Er 3.58-3.61, 3 Sm 3.61-3.67, 5 Pr 3.65-3.70
Pr3 0.0779 0.5403 0.3038  4 Er 3.58-3.61, 3 Sm 3.61-3.67, 5 Pr 3.65-3.70
Pr4 0.3818 0.6962 0.5403  4 Er 3.58-3.61, 3 Sm 3.61-3.67, 5 Pr 3.65-3.70
Sm1 0.6901 0.8503 0.7694  4 Sm 3.59-3.60, 5 Er 3.59-3.64, 3 Pr 3.61-3.67
Sm2 0.3099 0.1497 0.2306  4 Sm 3.59-3.60, 5 Er 3.59-3.64, 3 Pr 3.61-3.67
Sm3 0.0000 0.0000 0.0000  8 Sm 3.60, 4 Er 3.62
Sm4 0.5404 0.7695 0.1497  4 Sm 3.59-3.60, 5 Er 3.59-3.64, 3 Pr 3.61-3.67
Sm5 0.4596 0.2305 0.8503  4 Sm 3.59-3.60, 5 Er 3.59-3.64, 3 Pr 3.61-3.67
Er1 0.7693 0.3846 0.0768  4 Pr 3.58-3.61, 6 Sm 3.59-3.64, 2 Er 3.61
Er2 0.2307 0.6154 0.9232  4 Pr 3.58-3.61, 6 Sm 3.59-3.64, 2 Er 3.61
Er3 0.8461 0.9232 0.3846  4 Pr 3.58-3.61, 6 Sm 3.59-3.64, 2 Er 3.62
Er4 0.1539 0.0768 0.6154  4 Pr 3.58-3.61, 6 Sm 3.59-3.64, 2 Er 3.62

Values from the calculation:
Formation energy from the elements ... 19 meV/atom
Calculated total energy ... -4.671 eV/atom
V ... 33.49 A^3/atom



The following is a DFT calculation (PBE-GGA) of a relaxed TmBW crystal.

a = 4.7287 Å, b = 4.8497 Å, c = 9.1604 Å
α = 82.77°, β = 75.04°, γ = 60.82°
Closest atoms and distances in Å follow each position.
Sites, in units of the cell vectors:
W1 0.1655 0.5000 0.6690  4 B 2.47-2.53
W2 0.3345 0.5000 0.3310  4 B 2.47-2.53
W3 0.5845 0.0000 0.8310  4 B 2.47-2.53
W4 0.4155 0.0000 0.1690  4 B 2.47-2.53
B1 0.6255 0.5000 0.7490  2 B 2.42, 4 W 2.47-2.53, 4 Tm 2.61-2.62
B2 0.8745 0.5000 0.2510  2 B 2.42, 4 W 2.47-2.53, 4 Tm 2.61-2.62
B3 0.1245 0.0000 0.7510  2 B 2.42, 4 W 2.47-2.53, 4 Tm 2.61-2.62
B4 0.8755 0.0000 0.2490  2 B 2.42, 4 W 2.47-2.53, 4 Tm 2.61-2.62
Tm1 0.9147 0.1706 0.5000  4 B 2.61-2.62, 3 Tm 2.77-2.79
Tm2 0.5853 0.8294 0.5000  4 B 2.61-2.62, 3 Tm 2.77-2.79
Tm3 0.8353 0.3294 0.0000  4 B 2.61-2.62, 3 Tm 2.77-2.79
Tm4 0.1647 0.6706 0.0000  4 B 2.61-2.62, 3 Tm 2.77-2.79

Values from the calculation:
Formation energy from the elements ... 13 meV/atom
Calculated total energy ... -8.021 eV/atom
V ... 14.77 A^3/atom



The following is a DFT calculation (PBE-GGA) of a relaxed VHg crystal.

a = 4.8968 Å, b = 3.0313 Å, c = 9.5141 Å
α = 90.00°, β = 90.00°, γ = 90.00°
Closest atoms and distances in Å follow each position.
Sites, in units of the cell vectors:
Hg1 0.0000 0.2500 0.1375  6 V 2.91-2.95, 6 Hg 3.02-3.25
Hg2 0.0000 0.7500 0.8625  6 V 2.91-2.95, 6 Hg 3.02-3.25
Hg3 0.5000 0.7500 0.6375  6 V 2.91-2.95, 6 Hg 3.02-3.25
Hg4 0.5000 0.2500 0.3625  6 V 2.91-2.95, 6 Hg 3.02-3.25
V1 0.0000 0.2500 0.5959  2 V 2.37
V2 0.0000 0.7500 0.4041  2 V 2.37
V3 0.5000 0.7500 0.0959  2 V 2.37
V4 0.5000 0.2500 0.9041  2 V 2.37

Values from the calculation:
Formation energy from the elements ... 364 meV/atom
Calculated total energy ... -4.346 eV/atom
V ... 17.65 A^3/atom



The following is a DFT calculation (PBE-GGA) of a relaxed Ba2LiTe2 crystal.

a = 9.0248 Å, b = 9.0248 Å, c = 4.6935 Å
α = 90.00°, β = 90.00°, γ = 90.00°
Closest atoms and distances in Å follow each position.
Sites, in units of the cell vectors:
Te1 0.3417 0.8417 0.0000  6 Ba 3.38-3.65, 2 Li 3.40
Te2 0.8417 0.6583 0.0000  6 Ba 3.38-3.65, 2 Li 3.40
Te3 0.6583 0.1583 0.0000  6 Ba 3.38-3.65, 2 Li 3.40
Te4 0.1583 0.3417 0.0000  6 Ba 3.38-3.65, 2 Li 3.40
Ba1 0.1507 0.6507 0.5000  6 Te 3.38-3.65
Ba2 0.6507 0.8493 0.5000  6 Te 3.38-3.65
Ba3 0.8493 0.3493 0.5000  6 Te 3.38-3.65
Ba4 0.3493 0.1507 0.5000  6 Te 3.38-3.65
Li1 0.0000 0.0000 0.0000  4 Te 3.40
Li2 0.5000 0.5000 0.0000  4 Te 3.40

Values from the calculation:
Energy above the lowest structure with this stoichiometry ... 0 meV per atom
Calculated total energy ... -3.681 eV/atom
Formation energy from raw total energies ... -29.3 kcal/mol of atoms
V ... 38.23 A^3/atom